A plane-wave DFT calculation with GGA-PBE was carried out for an optimized crystal structure of Ac2Sm3Ni2.

Output
As for the total energy: -5.026 eV per atom. Its formation energy from the elements is -0.177 eV/atom.

a = 12.388 Å, b = 3.852 Å, c = 9.359 Å
α = 90.00°, β = 112.91°, γ = 90.00°
Space group C2/m (No. 12)
Unique sites:
Ac 0.167 0.000 0.298 (multiplicity 4)
Sm 0.000 0.500 0.500 (multiplicity 2)
Sm 0.118 0.500 0.920 (multiplicity 4)
Ni 0.154 0.000 0.726 (multiplicity 4)

***

A plane-wave DFT calculation with GGA-PBE was carried out for an optimized crystal structure of Y3Ge5O12.

Output
As for the total energy: -7.207 eV per atom. Its energy relative to the elements, uncorrected is -2.1077 eV per atom.

a = 12.839 Å, b = 12.839 Å, c = 12.839 Å
α = 90.00°, β = 90.00°, γ = 90.00°
Space group Ia-3d (No. 230)
Unique sites:
Y 0.000 0.250 0.125 (multiplicity 24)
Ge 0.000 0.000 0.000 (multiplicity 16)
Ge 0.000 0.250 0.375 (multiplicity 24)
O 0.032 0.063 0.664 (multiplicity 96)

***

A plane-wave DFT calculation with GGA-PBE was carried out for an optimized crystal structure of UCrOs.

Output
As for the total energy: -10.090 eV per atom. The energy above the lowest structure with this stoichiometry is 597 meV/atom. Its formation energy from the elements is 0.624 eV/atom.

a = 6.735 Å, b = 6.735 Å, c = 4.555 Å
α = 90.00°, β = 90.00°, γ = 90.00°
Space group P4_2/mmc (No. 131)
Unique sites:
U 0.000 0.270 0.000 (multiplicity 4)
Cr 0.000 0.305 0.500 (multiplicity 4)
Os 0.316 0.500 0.500 (multiplicity 4)

***

A plane-wave DFT calculation with GGA-PBE was carried out for an optimized crystal structure of Fe2Si5.

Output
As for the total energy: -6.549 eV per atom. Its energy relative to the elements, uncorrected is -0.2576 eV per atom.

a = 2.679 Å, b = 2.679 Å, c = 25.976 Å
α = 90.00°, β = 90.00°, γ = 90.00°
Space group P4/mmm (No. 123)
Unique sites:
Fe 0.000 0.000 0.099 (multiplicity 2)
Fe 0.000 0.000 0.297 (multiplicity 2)
Si 0.500 0.500 0.045 (multiplicity 2)
Si 0.500 0.500 0.154 (multiplicity 2)
Si 0.500 0.500 0.244 (multiplicity 2)
Si 0.500 0.500 0.353 (multiplicity 2)
Si 0.500 0.500 0.446 (multiplicity 2)

***

A plane-wave DFT calculation with GGA-PBE was carried out for an optimized crystal structure of Cs3Cd2Ag2.

Output
As for the total energy: -1.443 eV per atom. Its formation energy from the elements is -0.001 eV/atom.

a = 13.749 Å, b = 5.396 Å, c = 9.485 Å
α = 90.00°, β = 114.66°, γ = 90.00°
Space group C2/m (No. 12)
Unique sites:
Cs 0.000 0.000 0.000 (multiplicity 2)
Cs 0.181 0.000 0.619 (multiplicity 4)
Cd 0.200 0.500 0.934 (multiplicity 4)
Ag 0.006 0.500 0.656 (multiplicity 4)

***

A plane-wave DFT calculation with GGA-PBE was carried out for an optimized crystal structure of TaH2F6.

Output
As for the total energy: -5.628 eV per atom.

a = 4.746 Å, b = 6.017 Å, c = 8.569 Å
α = 90.00°, β = 106.57°, γ = 90.00°
Space group P2_1/c (No. 14)
Unique sites:
Ta 0.000 0.000 0.000 (multiplicity 2)
H 0.141 0.098 0.682 (multiplicity 4)
F 0.060 0.519 0.271 (multiplicity 4)
F 0.200 0.198 0.586 (multiplicity 4)
F 0.356 0.657 0.590 (multiplicity 4)

***

A plane-wave DFT calculation with GGA-PBE was carried out for an optimized crystal structure of Mn7Cd.

Output
As for the total energy: -7.748 eV per atom. Its formation energy from the elements is 0.389 eV/atom.

a = 7.548 Å, b = 7.548 Å, c = 7.548 Å
α = 90.00°, β = 90.00°, γ = 90.00°
Space group Fm-3m (No. 225)
Unique sites:
Mn 0.000 0.000 0.000 (multiplicity 4)
Mn 0.000 0.250 0.250 (multiplicity 24)
Cd 0.000 0.000 0.500 (multiplicity 4)

***

A plane-wave DFT calculation with GGA-PBE was carried out for an optimized crystal structure of CsLi2Sb2.

Output
As for the total energy: -3.031 eV per atom. Its energy relative to the elements, uncorrected is -0.4460 eV per atom. The energy above the lowest structure with this stoichiometry is 0 meV/atom.

a = 5.253 Å, b = 5.253 Å, c = 10.996 Å
α = 90.00°, β = 90.00°, γ = 90.00°
Space group I4/mmm (No. 139)
Unique sites:
Cs 0.000 0.000 0.000 (multiplicity 2)
Li 0.000 0.500 0.250 (multiplicity 4)
Sb 0.000 0.000 0.372 (multiplicity 4)